Record 1
Here is an optimized crystal structure of YCoTc2 from the Open Quantum Materials Database. Energies are from GGA-PBE.

a = 4.503 Å, b = 4.503 Å, c = 4.503 Å
α = 60.00°, β = 60.00°, γ = 60.00°
Last column: magnetic moment on the atom in μB.
Element x y z (fractional)
1 Y 0.500 0.500 0.500  -0.08
2 Tc 0.000 0.000 0.000  0.70
3 Tc 0.250 0.250 0.250  -0.13
4 Co 0.750 0.750 0.750  1.48

Computed properties:
Calculated volume   65 Å³ per cell
ΔH_f (0 K)   0.7 eV/f.u.
Symmetry   F-43m

=====

Record 2
Here is an optimized crystal structure of KScFeSe3 from the Open Quantum Materials Database. Energies are from GGA-PBE.

a = 8.887 Å, b = 3.916 Å, c = 9.626 Å
α = 90.00°, β = 110.49°, γ = 90.00°
Last column: magnetic moment on the atom in μB.
Element x y z (fractional)
1 K 0.204 0.250 0.231  0.00
2 K 0.796 0.750 0.769  0.00
3 Se 0.458 0.750 0.152  0.02
4 Se 0.780 0.250 0.461  0.12
5 Se 0.220 0.750 0.539  0.12
6 Se 0.880 0.750 0.149  0.10
7 Se 0.542 0.250 0.848  0.02
8 Se 0.120 0.250 0.851  0.10
9 Fe 0.926 0.750 0.411  3.07
10 Fe 0.074 0.250 0.589  3.07
11 Sc 0.337 0.750 0.856  0.04
12 Sc 0.663 0.250 0.144  0.04

Computed properties:
Calculated volume   314 Å³ per cell
Symmetry   P2_1/m
Calculated total energy   -66.207 eV/cell

=====

Record 3
Here is an optimized crystal structure of PuAgW from the Open Quantum Materials Database. Energies are from GGA-PBE.

a = 4.562 Å, b = 4.562 Å, c = 4.562 Å
α = 60.00°, β = 60.00°, γ = 60.00°
Last column: magnetic moment on the atom in μB.
Element x y z (fractional)
1 W 0.750 0.750 0.750  -0.98
2 Pu 0.000 0.000 0.000  4.42
3 Ag 0.250 0.250 0.250  -0.01

Computed properties:
Calculated volume   67 Å³ per cell
ΔH_f (0 K)   4.2 eV/f.u.
Symmetry   F-43m
Offset from the most stable computed form   0.0000 eV/atom

=====

Record 4
Here is an optimized crystal structure of CoPb3 from the Open Quantum Materials Database. Energies are from GGA-PBE.

a = 7.298 Å, b = 7.298 Å, c = 4.379 Å
α = 90.00°, β = 90.00°, γ = 120.00°
Element x y z (fractional)
1 Pb 0.375 0.188 0.750
2 Pb 0.188 0.375 0.250
3 Pb 0.625 0.812 0.250
4 Pb 0.812 0.188 0.750
5 Pb 0.188 0.812 0.250
6 Pb 0.812 0.625 0.750
7 Co 0.667 0.333 0.250
8 Co 0.333 0.667 0.750

Computed properties:
Calculated volume   202 Å³ per cell
Symmetry   P6_3/mmc
Calculated total energy   -32.482 eV/cell

=====

Record 5
Here is an optimized crystal structure of Zr2Co from the Open Quantum Materials Database. Energies are from GGA-PBE.

a = 4.570 Å, b = 10.436 Å, c = 4.559 Å
α = 90.00°, β = 90.00°, γ = 90.00°
Element x y z (fractional)
1 Co 0.911 0.500 0.500
2 Co 0.411 0.000 0.500
3 Co 0.922 0.000 0.000
4 Co 0.422 0.500 0.000
5 Zr 0.916 0.850 0.500
6 Zr 0.416 0.650 0.500
7 Zr 0.416 0.350 0.500
8 Zr 0.916 0.150 0.500
9 Zr 0.917 0.350 0.000
10 Zr 0.417 0.850 0.000
11 Zr 0.917 0.650 0.000
12 Zr 0.417 0.150 0.000

Computed properties:
Calculated volume   217 Å³ per cell
ΔH_f (0 K)   -0.5 eV/f.u.
Symmetry   Cmcm

=====

Record 6
Here is an optimized crystal structure of TbSmGe2Os from the Open Quantum Materials Database. Energies are from GGA-PBE.

a = 5.875 Å, b = 5.875 Å, c = 10.286 Å
α = 116.25°, β = 116.25°, γ = 43.24°
Element x y z (fractional)
1 Ge 0.493 0.493 0.128
2 Ge 0.507 0.507 0.872
3 Ge 0.644 0.644 0.562
4 Ge 0.356 0.356 0.438
5 Tb 0.003 0.003 0.674
6 Tb 0.997 0.997 0.326
7 Sm 0.186 0.186 0.113
8 Sm 0.814 0.814 0.887
9 Os 0.730 0.730 0.372
10 Os 0.270 0.270 0.628

Computed properties:
Calculated volume   214 Å³ per cell
Symmetry   C2/m
Calculated total energy   -66.418 eV/cell

=====

Record 7
Here is an optimized crystal structure of PrNdAg2 from the Open Quantum Materials Database. Energies are from GGA-PBE.

a = 4.882 Å, b = 5.994 Å, c = 5.994 Å
α = 37.92°, β = 90.00°, γ = 90.00°
Element x y z (fractional)
1 Nd 0.000 0.356 0.356
2 Pr 0.500 0.644 0.644
3 Ag 0.000 0.075 0.075
4 Ag 0.500 0.924 0.924

Computed properties:
Calculated volume   108 Å³ per cell
ΔH_f (0 K)   -1.0 eV/f.u.
Symmetry   Amm2
Offset from the most stable computed form   0.0102 eV/atom

=====

Record 8
Here is an optimized crystal structure of NpReAg from the Open Quantum Materials Database. Energies are from GGA-PBE.

a = 4.491 Å, b = 4.491 Å, c = 4.491 Å
α = 60.00°, β = 60.00°, γ = 60.00°
Last column: magnetic moment on the atom in μB.
Element x y z (fractional)
1 Np 0.250 0.250 0.250  0.08
2 Re 0.750 0.750 0.750  -0.06
3 Ag 0.000 0.000 0.000  0.00

Computed properties:
Calculated volume   64 Å³ per cell
ΔH_f (0 K)   4.6 eV/f.u.
Symmetry   F-43m

=====

Record 9
Here is an optimized crystal structure of BaPrGaS3 from the Open Quantum Materials Database. Energies are from GGA-PBE.

a = 7.565 Å, b = 7.565 Å, c = 10.389 Å
α = 90.00°, β = 90.00°, γ = 146.45°
Element x y z (fractional)
1 S 0.406 0.594 0.250
2 S 0.864 0.136 0.954
3 S 0.594 0.406 0.750
4 S 0.136 0.864 0.046
5 S 0.864 0.136 0.546
6 S 0.136 0.864 0.454
7 Ba 0.248 0.752 0.750
8 Ba 0.752 0.248 0.250
9 Ga 0.977 0.023 0.750
10 Ga 0.023 0.977 0.250
11 Pr 0.500 0.500 0.000
12 Pr 0.500 0.500 0.500

Computed properties:
Calculated volume   329 Å³ per cell
Symmetry   Cmcm
Calculated total energy   -60.950 eV/cell

=====

Record 10
Here is an optimized crystal structure of LiTaSO from the Open Quantum Materials Database. Energies are from GGA-PBE.

a = 3.096 Å, b = 3.096 Å, c = 12.200 Å
α = 90.00°, β = 90.00°, γ = 120.00°
Element x y z (fractional)
1 Ta 0.000 0.000 0.236
2 Ta 0.000 0.000 0.736
3 S 0.667 0.333 0.871
4 S 0.333 0.667 0.371
5 Li 0.000 0.000 0.515
6 Li 0.000 0.000 0.015
7 O 0.667 0.333 0.628
8 O 0.333 0.667 0.128

Computed properties:
Calculated volume   101 Å³ per cell
Symmetry   P6_3mc
Offset from the most stable computed form   0.0000 eV/atom

=====

Record 11
Here is an optimized crystal structure of Zr4In3 from the Open Quantum Materials Database. Energies are from GGA-PBE.

a = 8.359 Å, b = 8.359 Å, c = 5.323 Å
α = 90.00°, β = 90.00°, γ = 59.99°
Element x y z (fractional)
1 Zr 0.101 0.524 0.500
2 Zr 0.006 0.994 0.000
3 Zr 0.571 0.149 0.000
4 Zr 0.382 0.089 0.500
5 Zr 0.143 0.286 0.000
6 Zr 0.851 0.714 0.000
7 Zr 0.946 0.244 0.500
8 Zr 0.810 0.952 0.500
9 In 0.234 0.814 0.500
10 In 0.671 0.667 0.500
11 In 0.281 0.571 0.000
12 In 0.524 0.376 0.500
13 In 0.429 0.862 0.000
14 In 0.719 0.424 0.000

Computed properties:
Calculated volume   322 Å³ per cell
Symmetry   P6_3/m
Calculated total energy   -86.518 eV/cell

=====

Record 12
Here is an optimized crystal structure of Zn4W3 from the Open Quantum Materials Database. Energies are from GGA-PBE.

a = 7.436 Å, b = 7.436 Å, c = 4.537 Å
α = 90.00°, β = 90.00°, γ = 60.00°
Element x y z (fractional)
1 Zn 0.809 0.952 0.500
2 Zn 0.866 0.709 0.000
3 Zn 0.143 0.286 0.000
4 Zn 0.996 0.008 0.000
5 Zn 0.956 0.230 0.500
6 Zn 0.567 0.139 0.000
7 Zn 0.385 0.099 0.500
8 Zn 0.087 0.529 0.500
9 W 0.253 0.800 0.500
10 W 0.296 0.576 0.000
11 W 0.657 0.662 0.500
12 W 0.433 0.842 0.000
13 W 0.519 0.396 0.500
14 W 0.700 0.438 0.000

Computed properties:
Calculated volume   217 Å³ per cell
ΔH_f (0 K)   1.6 eV/f.u.
Symmetry   P6_3/m
Offset from the most stable computed form   0.0000 eV/atom

=====

Record 13
Here is an optimized crystal structure of YUGa from the Open Quantum Materials Database. Energies are from GGA-PBE.

a = 4.886 Å, b = 4.886 Å, c = 4.886 Å
α = 60.00°, β = 60.00°, γ = 60.00°
Element x y z (fractional)
1 Ga 0.250 0.250 0.250
2 U 0.750 0.750 0.750
3 Y 0.000 0.000 0.000

Computed properties:
Calculated volume   82 Å³ per cell
Symmetry   F-43m
Offset from the most stable computed form   0.0000 eV/atom

=====

Record 14
Here is an optimized crystal structure of CdBiNO from the Open Quantum Materials Database. Energies are from GGA-PBE.

a = 6.723 Å, b = 7.023 Å, c = 6.000 Å
α = 90.00°, β = 90.00°, γ = 90.00°
Element x y z (fractional)
1 Bi 0.879 0.346 0.475
2 Bi 0.379 0.654 0.475
3 Bi 0.621 0.346 0.975
4 Bi 0.121 0.654 0.975
5 Cd 0.875 0.877 0.470
6 Cd 0.625 0.877 0.970
7 Cd 0.375 0.123 0.470
8 Cd 0.125 0.123 0.970
9 N 0.937 0.874 0.103
10 N 0.063 0.126 0.603
11 N 0.437 0.126 0.103
12 N 0.563 0.874 0.603
13 O 0.028 0.401 0.154
14 O 0.472 0.401 0.654
15 O 0.528 0.599 0.154
16 O 0.972 0.599 0.654

Computed properties:
Calculated volume   283 Å³ per cell
Symmetry   Pca2_1
Offset from the most stable computed form   0.0498 eV/atom